## Rb2PrH6Ru (PBE-GGA)

Data for crystalline Rb2PrH6Ru at its relaxed geometry.

Output
DFT total energy ... -3.841 eV/atom
SG ... No. 164

Unit cell a=5.890 b=6.246 c=6.246 alpha=120.00 beta=90.00 gamma=90.00
Each line ends with the local moment (μB).
Atoms (fractional coordinates):
Pr1 0.500 0.000 0.000  0.21
Rb1 0.120 0.333 0.667  0.01
Ru1 0.000 0.000 0.000  0.06
Rb2 0.880 0.667 0.333  0.01
H1 0.172 0.869 0.131  0.00
H2 0.172 0.869 0.737  0.00
H3 0.828 0.131 0.869  0.00
H4 0.828 0.131 0.263  0.00
H5 0.828 0.737 0.869  0.00
H6 0.172 0.263 0.131  0.00